# VTcO3

A relaxed VTcO3 crystal (PBE+U, Alexandria via LeMat-Bulk).

Properties
E = -7.346 eV/atom

Unit cell a=3.852 b=3.852 c=3.852 alpha=90.00 beta=90.00 gamma=90.00
Space group Pm-3m (No. 221)
Unique sites:
V 0.000 0.000 0.000 x1
Tc 0.500 0.500 0.500 x1
O 0.000 0.000 0.500 x3